First-principles (PBE) data for a geometry-optimized TlTeO2 structure, as listed in the Alexandria database.

a b c (Å): 7.0730 7.0730 7.0730
angles (deg): 133.62 133.62 67.69
Sites, in units of the cell vectors:
Tl (0.0000, 0.0000, 0.0000)
Tl (0.7500, 0.2500, 0.5000)
Te (0.2500, 0.7500, 0.5000)
Te (0.5000, 0.5000, 0.0000)
O (0.2362, 0.6250, 0.1112)
O (0.3750, 0.4862, 0.6112)
O (0.5138, 0.1250, 0.8888)
O (0.8750, 0.7638, 0.3888)

Summary:
Magnetization = 0.00 μB/atom
Density of states at the Fermi level = 3.42 states/eV per cell
Formation energy from raw total energies = -0.4364 eV per atom
ΔE to the lowest computed polymorph = 328.8 meV per atom
Calculated volume = 91.16 Å³/f.u.


First-principles (PBE) data for a geometry-optimized YNbSi2 structure, as listed in the Alexandria database.

a b c (Å): 5.9723 5.9723 5.9723
angles (deg): 104.88 104.88 119.11
Sites, in units of the cell vectors:
Y (0.0000, 0.0000, 0.0000)
Y (0.7500, 0.2500, 0.5000)
Nb (0.2500, 0.7500, 0.5000)
Nb (0.5000, 0.5000, 0.0000)
Si (0.1510, 0.1250, 0.5260)
Si (0.3750, 0.8490, 0.9740)
Si (0.5990, 0.6250, 0.4740)
Si (0.8750, 0.4010, 0.0260)

Summary:
Magnetization = 0.00 μB/atom
Density of states at the Fermi level = 2.03 states/eV per cell
Formation energy from raw total energies = -0.1984 eV per atom
ΔE to the lowest computed polymorph = 0.0 meV per atom
Calculated volume = 80.23 Å³/f.u.


First-principles (PBE) data for a geometry-optimized La15TbPr4 structure, as listed in the Alexandria database.

a b c (Å): 5.2476 5.2476 26.3623
angles (deg): 90.00 90.00 90.00
Sites, in units of the cell vectors:
La (0.0000, 0.0000, 0.0000)
La (0.0000, 0.0000, 0.1990)
La (0.0000, 0.0000, 0.3998)
La (0.0000, 0.0000, 0.6002)
La (0.0000, 0.0000, 0.8010)
La (0.0000, 0.5000, 0.0987)
La (0.0000, 0.5000, 0.2993)
La (0.0000, 0.5000, 0.5000)
La (0.0000, 0.5000, 0.7007)
La (0.0000, 0.5000, 0.9013)
La (0.5000, 0.0000, 0.0987)
La (0.5000, 0.0000, 0.2993)
La (0.5000, 0.0000, 0.5000)
La (0.5000, 0.0000, 0.7007)
La (0.5000, 0.0000, 0.9013)
Tb (0.5000, 0.5000, 0.0000)
Pr (0.5000, 0.5000, 0.1990)
Pr (0.5000, 0.5000, 0.3997)
Pr (0.5000, 0.5000, 0.6003)
Pr (0.5000, 0.5000, 0.8010)

Summary:
Magnetization = 0.00 μB/atom
Density of states at the Fermi level = 35.95 states/eV per cell
Calculated volume = 725.94 Å³/f.u.
Energy relative to the elements = 0.0093 eV per atom


First-principles (PBE) data for a geometry-optimized Ho2Zn3Si2 structure, as listed in the Alexandria database.

a b c (Å): 5.5255 5.5255 6.3280
angles (deg): 99.06 99.06 43.25
Sites, in units of the cell vectors:
Ho (0.1252, 0.1252, 0.3405)
Ho (0.8748, 0.8748, 0.6595)
Zn (0.1962, 0.1962, 0.8637)
Zn (0.5000, 0.5000, 0.0000)
Zn (0.8038, 0.8038, 0.1363)
Si (0.4130, 0.4130, 0.3465)
Si (0.5870, 0.5870, 0.6535)

Summary:
Magnetization = 0.00 μB/atom
Density of states at the Fermi level = 3.05 states/eV per cell
Formation energy from raw total energies = -0.4543 eV per atom
Calculated volume = 130.47 Å³/f.u.


First-principles (PBE) data for a geometry-optimized Ag12Pb17 structure, as listed in the Alexandria database.

a b c (Å): 9.9102 9.9102 9.9102
angles (deg): 109.47 109.47 109.47
Sites, in units of the cell vectors:
Ag (0.0000, 0.1825, 0.3624)
Ag (0.0000, 0.3624, 0.1825)
Ag (0.1798, 0.8175, 0.8175)
Ag (0.1825, 0.0000, 0.3624)
Ag (0.1825, 0.3624, 0.0000)
Ag (0.3624, 0.0000, 0.1825)
Ag (0.3624, 0.1825, 0.0000)
Ag (0.6376, 0.6376, 0.8202)
Ag (0.6376, 0.8202, 0.6376)
Ag (0.8175, 0.1798, 0.8175)
Ag (0.8175, 0.8175, 0.1798)
Ag (0.8202, 0.6376, 0.6376)
Pb (0.0000, 0.0000, 0.0000)
Pb (0.0000, 0.0000, 0.6636)
Pb (0.0000, 0.3904, 0.6837)
Pb (0.0000, 0.6636, 0.0000)
Pb (0.0000, 0.6837, 0.3904)
Pb (0.2932, 0.6096, 0.6096)
Pb (0.3163, 0.3163, 0.7068)
Pb (0.3163, 0.7068, 0.3163)
Pb (0.3364, 0.3364, 0.3364)
Pb (0.3904, 0.0000, 0.6837)
Pb (0.3904, 0.6837, 0.0000)
Pb (0.6096, 0.2932, 0.6096)
Pb (0.6096, 0.6096, 0.2932)
Pb (0.6636, 0.0000, 0.0000)
Pb (0.6837, 0.0000, 0.3904)
Pb (0.6837, 0.3904, 0.0000)
Pb (0.7068, 0.3163, 0.3163)

Summary:
Magnetization = 0.00 μB/atom
Density of states at the Fermi level = 16.22 states/eV per cell
Calculated volume = 749.24 Å³/f.u.
Energy relative to the elements = 0.0964 eV per atom


First-principles (PBE) data for a geometry-optimized YBrF structure, as listed in the Alexandria database.

a b c (Å): 3.6405 6.9710 7.4689
angles (deg): 104.19 90.01 104.73
Sites, in units of the cell vectors:
Y (0.2100, 0.4166, 0.2603)
Y (0.7900, 0.5834, 0.7397)
Br (0.1429, 0.2809, 0.8187)
Br (0.8571, 0.7191, 0.1813)
F (0.3806, 0.7696, 0.7989)
F (0.6194, 0.2304, 0.2011)

Summary:
Magnetization = 0.00 μB/atom
Density of states at the Fermi level = 1.32 states/eV per cell
Formation energy from raw total energies = -2.4458 eV per atom
Calculated volume = 88.67 Å³/f.u.


First-principles (PBE) data for a geometry-optimized GaTeSe2 structure, as listed in the Alexandria database.

a b c (Å): 8.6754 8.6754 8.6754
angles (deg): 25.32 25.32 25.32
Sites, in units of the cell vectors:
Ga (0.0000, 0.0000, 0.0000)
Te (0.5000, 0.5000, 0.5000)
Se (0.3902, 0.3902, 0.3902)
Se (0.6098, 0.6098, 0.6098)

Summary:
Magnetization = 0.00 μB/atom
Density of states at the Fermi level = 1.50 states/eV per cell
Formation energy from raw total energies = -0.2032 eV per atom
ΔE to the lowest computed polymorph = 119.1 meV per atom
Calculated volume = 105.10 Å³/f.u.


First-principles (PBE) data for a geometry-optimized Ho2USe5 structure, as listed in the Alexandria database.

a b c (Å): 7.3001 7.3001 13.6580
angles (deg): 90.00 90.00 134.89
Sites, in units of the cell vectors:
Ho (0.1486, 0.8514, 0.5556)
Ho (0.1486, 0.8514, 0.9444)
Ho (0.8514, 0.1486, 0.0556)
Ho (0.8514, 0.1486, 0.4444)
U (0.2028, 0.7972, 0.2500)
U (0.7972, 0.2028, 0.7500)
Se (0.0465, 0.9535, 0.1220)
Se (0.0465, 0.9535, 0.3780)
Se (0.2467, 0.7533, 0.7500)
Se (0.3214, 0.6786, 0.0721)
Se (0.3214, 0.6786, 0.4279)
Se (0.6786, 0.3214, 0.5721)
Se (0.6786, 0.3214, 0.9279)
Se (0.7533, 0.2467, 0.2500)
Se (0.9535, 0.0465, 0.6220)
Se (0.9535, 0.0465, 0.8780)

Summary:
Magnetization = 0.25 μB/atom
Density of states at the Fermi level = 8.65 states/eV per cell
Formation energy from raw total energies = -1.5371 eV per atom
ΔE to the lowest computed polymorph = 0.0 meV per atom
Calculated volume = 257.82 Å³/f.u.


> Which of these has the lowest calculated volume?

YNbSi2


> density of states at the Fermi level of number 5 (Ag12Pb17)?

16.22 states/eV per cell


What did the third record say?
First-principles (PBE) data for a geometry-optimized La15TbPr4 structure, as listed in the Alexandria database.

a b c (Å): 5.2476 5.2476 26.3623
angles (deg): 90.00 90.00 90.00
Sites, in units of the cell vectors:
La (0.0000, 0.0000, 0.0000)
La (0.0000, 0.0000, 0.1990)
La (0.0000, 0.0000, 0.3998)
La (0.0000, 0.0000, 0.6002)
La (0.0000, 0.0000, 0.8010)
La (0.0000, 0.5000, 0.0987)
La (0.0000, 0.5000, 0.2993)
La (0.0000, 0.5000, 0.5000)
La (0.0000, 0.5000, 0.7007)
La (0.0000, 0.5000, 0.9013)
La (0.5000, 0.0000, 0.0987)
La (0.5000, 0.0000, 0.2993)
La (0.5000, 0.0000, 0.5000)
La (0.5000, 0.0000, 0.7007)
La (0.5000, 0.0000, 0.9013)
Tb (0.5000, 0.5000, 0.0000)
Pr (0.5000, 0.5000, 0.1990)
Pr (0.5000, 0.5000, 0.3997)
Pr (0.5000, 0.5000, 0.6003)
Pr (0.5000, 0.5000, 0.8010)

Summary:
Magnetization = 0.00 μB/atom
Density of states at the Fermi level = 35.95 states/eV per cell
Calculated volume = 725.94 Å³/f.u.
Energy relative to the elements = 0.0093 eV per atom


> The highest density of states at the Fermi level belongs to which entry?

La15TbPr4